ZnMoAs after structural relaxation, computed with GGA-PBE.

Output
Energy above the most stable polymorph in this dataset (eV/f.u.): 0.48
N(E_F) (states/eV per cell): 3.345
Uncorrected energy (eV/cell): -16.3
Formation enthalpy at 0 K (eV/atom): 0.15

abc: 3.0792 3.0792 6.2564
angles: 90.00 90.00 120.00
Last column: nearest neighbours and their distance in Å.
Atoms (fractional coordinates):
As (0.0000, 0.0000, 0.0291)  3 Mo 2.53
Mo (0.6667, 0.3333, 0.3159)  3 As 2.53, 3 Zn 2.77
Zn (0.3333, 0.6667, 0.6550)  3 Mo 2.77, 3 As 2.94, 6 Zn 3.08

***

Na5Cd3Hg3 after structural relaxation, computed with GGA-PBE.

Output
N(E_F) (states/eV per cell): 7.814
Uncorrected energy (eV/cell): -11.0
Formation enthalpy at 0 K (eV/atom): -0.07

abc: 3.2695 10.4672 10.4672
angles: 120.00 90.00 90.00
Last column: nearest neighbours and their distance in Å.
Atoms (fractional coordinates):
Na (0.5000, 0.6667, 0.3333)  5 Na 3.27-3.44, 6 Hg 3.57
Na (0.5000, 0.3333, 0.6667)  5 Na 3.27-3.44, 6 Hg 3.57
Na (0.5000, 0.3427, 0.0000)  2 Hg 3.08, 2 Cd 3.11, 4 Na 3.27-3.44
Na (0.5000, 0.6573, 0.6573)  2 Hg 3.08, 2 Cd 3.11, 4 Na 3.27-3.44
Na (0.5000, 0.0000, 0.3427)  2 Hg 3.08, 2 Cd 3.11, 4 Na 3.27-3.44
Cd (0.5000, 0.8351, 0.0000)  4 Cd 2.99-3.27, 2 Hg 3.02, 2 Na 3.11
Cd (0.5000, 0.1649, 0.1649)  4 Cd 2.99-3.27, 2 Hg 3.02, 2 Na 3.11
Cd (0.5000, 0.0000, 0.8351)  4 Cd 2.99-3.27, 2 Hg 3.02, 2 Na 3.11
Hg (0.0000, 0.5926, 0.0000)  2 Cd 3.02, 2 Na 3.08, 2 Hg 3.27
Hg (0.0000, 0.0000, 0.5926)  2 Cd 3.02, 2 Na 3.08, 2 Hg 3.27
Hg (0.0000, 0.4074, 0.4074)  2 Cd 3.02, 2 Na 3.08, 2 Hg 3.27

***

Pr3Sm8Th2 after structural relaxation, computed with GGA-PBE.

Output
N(E_F) (states/eV per cell): 38.790
Uncorrected energy (eV/cell): -131.7
Formation enthalpy at 0 K (eV/atom): 0.08

abc: 11.9358 6.3724 17.8282
angles: 61.92 105.10 131.60
Last column: nearest neighbours and their distance in Å.
Atoms (fractional coordinates):
Pr (0.6004, 0.4568, 0.2499)  7 Sm 3.57-3.81, 2 Th 3.61-3.74, 2 Pr 3.61-3.96
Pr (0.5000, 0.0000, 0.5000)  2 Th 3.54, 8 Sm 3.61-3.75, 2 Pr 3.96
Pr (0.0882, 0.9689, 0.6739)  8 Sm 3.45-3.85, 2 Th 3.46, 1 Pr 3.61
Pr (0.9118, 0.0311, 0.3261)  8 Sm 3.45-3.85, 2 Th 3.46, 1 Pr 3.61
Pr (0.0000, 0.0000, 0.0000)  10 Sm 3.33-3.72
Pr (0.3996, 0.5432, 0.7501)  7 Sm 3.57-3.81, 2 Th 3.61-3.74, 2 Pr 3.61-3.96
Sm (0.6597, 0.8584, 0.0088)  7 Sm 3.48-3.80, 2 Pr 3.56-3.79, 3 Th 3.73-3.75
Sm (0.5486, 0.7247, 0.3799)  4 Sm 3.53-3.81, 5 Pr 3.56-3.81, 3 Th 3.56-3.89
Sm (0.0380, 0.2892, 0.7879)  3 Pr 3.33-3.59, 6 Sm 3.48-3.68, 1 Th 3.60
Sm (0.6839, 0.5268, 0.8958)  8 Sm 3.48-3.78, 2 Th 3.62-3.74, 2 Pr 3.65-3.73
Sm (0.2834, 0.7607, 0.2274)  2 Th 3.51-3.64, 2 Pr 3.57-3.66, 8 Sm 3.58-3.78
Sm (0.8669, 0.3319, 0.4344)  5 Sm 3.46-3.62, 3 Th 3.51-3.75, 3 Pr 3.61-3.62
Sm (0.2357, 0.0618, 0.3430)  7 Sm 3.52-3.77, 2 Th 3.63-3.70, 3 Pr 3.65-3.74
Sm (0.0242, 0.6526, 0.8920)  7 Sm 3.40-3.80, 3 Pr 3.45-3.72, 1 Th 3.51
Sm (0.9758, 0.3474, 0.1080)  7 Sm 3.40-3.80, 3 Pr 3.45-3.72, 1 Th 3.51
Sm (0.7643, 0.9382, 0.6570)  7 Sm 3.52-3.77, 2 Th 3.63-3.70, 3 Pr 3.65-3.74
Sm (0.9620, 0.7108, 0.2121)  3 Pr 3.33-3.59, 6 Sm 3.48-3.68, 1 Th 3.60
Sm (0.7166, 0.2393, 0.7726)  2 Th 3.51-3.64, 2 Pr 3.57-3.66, 8 Sm 3.58-3.78
Sm (0.3161, 0.4732, 0.1042)  8 Sm 3.48-3.78, 2 Th 3.62-3.74, 2 Pr 3.65-3.73
Sm (0.1331, 0.6681, 0.5656)  5 Sm 3.46-3.62, 3 Th 3.51-3.75, 3 Pr 3.61-3.62
Sm (0.4514, 0.2753, 0.6201)  4 Sm 3.53-3.81, 5 Pr 3.56-3.81, 3 Th 3.56-3.89
Sm (0.3403, 0.1416, 0.9912)  7 Sm 3.48-3.80, 2 Pr 3.56-3.79, 3 Th 3.73-3.75
Th (0.6352, 0.1648, 0.1339)  9 Sm 3.51-3.89, 2 Pr 3.61-3.74
Th (0.8142, 0.6439, 0.5434)  3 Pr 3.46-3.54, 8 Sm 3.51-3.84, 1 Th 3.59
Th (0.1858, 0.3561, 0.4566)  3 Pr 3.46-3.54, 8 Sm 3.51-3.84, 1 Th 3.59
Th (0.3648, 0.8352, 0.8661)  9 Sm 3.51-3.89, 2 Pr 3.61-3.74

***

What is the formula in the first record? ZnMoAs

***

Among the records above, which one has the lowest N(E_F)? ZnMoAs

***

The highest formation enthalpy at 0 K belongs to which entry? ZnMoAs

***

Which of these has the lowest formation enthalpy at 0 K? Na5Cd3Hg3